(1)
First-principles (PBE) data for a relaxed Tb2CdF8 crystal, as listed in Alexandria.

volume = 283.5 Å³ per cell
energy = -5.8768 eV/atom
energy relative to the elements, uncorrected = -346.46 kJ/mol of atoms

CIF file:
```
data_Tb2CdF8
_chemical_formula_sum 'Tb4 Cd2 F16'
_space_group_name_H-M_alt 'C 1 2/m 1'
_space_group_IT_number 12
_cell_length_a 14.856
_cell_length_b 3.667
_cell_length_c 5.510
_cell_angle_alpha 90.00
_cell_angle_beta 109.21
_cell_angle_gamma 90.00
loop_
_space_group_symop_operation_xyz
'x,y,z'
'-x,-y,-z'
'-x,y,-z'
'x,-y,z'
'x+1/2,y+1/2,z'
'-x+1/2,-y+1/2,-z'
'-x+1/2,y+1/2,-z'
'x+1/2,-y+1/2,z'
loop_
_atom_site_label
_atom_site_type_symbol
_atom_site_fract_x
_atom_site_fract_y
_atom_site_fract_z
Tb1 Tb 0.178 0.000 0.187
Cd1 Cd 0.000 0.500 0.500
F1 F 0.044 0.000 0.315
F2 F 0.098 0.500 0.949
F3 F 0.181 0.500 0.463
F4 F 0.218 0.000 0.829
```

=====

(2)
First-principles (PBE) data for a relaxed TbTl2Cd3F12 crystal, as listed in Alexandria.

volume = 1097.0 Å³ per cell
energy = -4.2784 eV/atom
energy relative to the elements, uncorrected = -227.53 kJ/mol of atoms

CIF file:
```
data_TbTl2Cd3F12
_chemical_formula_sum 'Tb3 Tl6 Cd9 F36'
_space_group_name_H-M_alt 'R -3 m'
_space_group_IT_number 166
_space_group_name_Hall '-R 3 2"'
_cell_length_a 7.7776
_cell_length_b 7.7776
_cell_length_c 20.9396
_cell_angle_alpha 90.00
_cell_angle_beta 90.00
_cell_angle_gamma 120.00
loop_
_atom_site_label
_atom_site_type_symbol
_atom_site_fract_x
_atom_site_fract_y
_atom_site_fract_z
Tb1 Tb 0.0000 0.0000 0.0000
Tl1 Tl 0.0000 0.0000 0.4204
Cd1 Cd 0.0000 0.5000 0.5000
F1 F 0.0195 0.5097 0.8660
F2 F 0.0771 0.5385 0.6025
```

=====

(3)
First-principles (PBE) data for a relaxed TbTlCdF6 crystal, as listed in Alexandria.

volume = 183.5 Å³ per cell
energy = -5.0621 eV/atom
energy relative to the elements, uncorrected = -283.23 kJ/mol of atoms

CIF file:
```
data_TbTlCdF6
_chemical_formula_sum 'Tb1 Tl1 Cd1 F6'
_space_group_name_H-M_alt 'P 3 1 2'
_space_group_IT_number 149
_cell_length_a 6.1412
_cell_length_b 6.1412
_cell_length_c 5.6189
_cell_angle_alpha 90.00
_cell_angle_beta 90.00
_cell_angle_gamma 120.00
loop_
_space_group_symop_operation_xyz
'x,y,z'
'-y,x-y,z'
'-x+y,-x,z'
'-y,-x,-z'
'-x+y,y,-z'
'x,x-y,-z'
loop_
_atom_site_label
_atom_site_type_symbol
_atom_site_fract_x
_atom_site_fract_y
_atom_site_fract_z
Tb1 Tb 0.0000 0.0000 0.0000
Tl1 Tl 0.6667 0.3333 0.5000
Cd1 Cd 0.3333 0.6667 0.0000
F1 F 0.0415 0.3255 0.2073
```

=====

(4)
First-principles (PBE) data for a relaxed CdTc2F11 crystal, as listed in Alexandria.

volume = 828.4 Å³ per cell
energy = -5.0674 eV/atom
energy relative to the elements, uncorrected = -197.87 kJ/mol of atoms

CIF file:
```
data_CdTc2F11
_chemical_formula_sum 'Cd4 Tc8 F44'
_space_group_name_H-M_alt 'I b a m'
_space_group_IT_number 72
_space_group_name_Hall '-I 2 2c'
_cell_length_a 8.924
_cell_length_b 8.937
_cell_length_c 10.387
_cell_angle_alpha 90.00
_cell_angle_beta 90.00
_cell_angle_gamma 90.00
loop_
_atom_site_label
_atom_site_type_symbol
_atom_site_fract_x
_atom_site_fract_y
_atom_site_fract_z
Cd1 Cd 0.000 0.000 0.250
Tc1 Tc 0.163 0.338 0.000
F1 F 0.000 0.500 0.000
F2 F 0.058 0.225 0.132
F3 F 0.192 0.308 0.500
F4 F 0.224 0.057 0.369
```